DFT (PBE) results for MnCd2CuGe after structural relaxation.

Space-group type: P4/mmm (123)
Calculated density (g/cm3): 6.2
Total magnetization (μB/f.u.): 4.47
Crystal system: tetragonal
E_form (eV/atom): 0.567

a b c (Å): 4.966 4.966 4.534
angles (deg): 90.00 90.00 90.00
Sites, in units of the cell vectors:
Mn 0.000 0.000 0.000
Cd 0.000 0.500 0.500
Cd 0.500 0.000 0.500
Cu 0.500 0.500 0.500
Ge 0.500 0.500 0.000

DFT (PBE) results for MnCdCu4Ge2Se8 after structural relaxation.

Space-group type: Pm (6)
Calculated density (g/cm3): 5.3
Total magnetization (μB/f.u.): 4.98
Crystal system: monoclinic
Uncorrected energy (eV for the cell shown): -68.7

a b c (Å): 6.644 8.123 6.938
angles (deg): 90.00 90.04 90.00
Sites, in units of the cell vectors:
Mn 0.000 0.000 0.000
Cd 0.505 0.500 0.685
Cu 0.005 0.246 0.510
Cu 0.005 0.754 0.510
Cu 0.510 0.243 0.164
Cu 0.510 0.757 0.164
Ge 0.005 0.500 0.012
Ge 0.500 0.000 0.669
Se 0.371 0.234 0.491
Se 0.371 0.500 0.047
Se 0.371 0.766 0.491
Se 0.383 0.000 0.002
Se 0.869 0.000 0.658
Se 0.874 0.256 0.180
Se 0.874 0.744 0.180
Se 0.909 0.500 0.673

DFT (PBE) results for CdCu2GeMo after structural relaxation.

Space-group type: P4/mmm (123)
Calculated density (g/cm3): 6.2
Total magnetization (μB/f.u.): 0.00
Crystal system: tetragonal
E_form (eV/atom): 1.014

a b c (Å): 4.773 4.773 4.801
angles (deg): 90.00 90.00 90.00
Sites, in units of the cell vectors:
Cd 0.000 0.000 0.000
Cu 0.000 0.500 0.500
Cu 0.500 0.000 0.500
Ge 0.500 0.500 0.000
Mo 0.500 0.500 0.500

DFT (PBE) results for NaCd2CuGe after structural relaxation.

Space-group type: P4/mmm (123)
Calculated density (g/cm3): 5.3
Total magnetization (μB/f.u.): 0.00
Crystal system: tetragonal
E_form (eV/atom): 0.107

a b c (Å): 5.076 5.076 4.682
angles (deg): 90.00 90.00 90.00
Sites, in units of the cell vectors:
Na 0.000 0.000 0.000
Cd 0.000 0.500 0.500
Cd 0.500 0.000 0.500
Cu 0.500 0.500 0.500
Ge 0.500 0.500 0.000

DFT (PBE) results for Nd2CdCu3Ge4 after structural relaxation.

Space-group type: P-4m2 (115)
Calculated density (g/cm3): 7.7
Total magnetization (μB/f.u.): 0.00
Crystal system: tetragonal
E_form (eV/atom): -0.454

a b c (Å): 4.272 4.272 10.451
angles (deg): 90.00 90.00 90.00
Sites, in units of the cell vectors:
Nd 0.000 0.500 0.240
Nd 0.500 0.000 0.760
Cd 0.000 0.000 0.500
Cu 0.000 0.500 0.878
Cu 0.500 0.000 0.122
Cu 0.500 0.500 0.500
Ge 0.000 0.000 0.000
Ge 0.000 0.500 0.650
Ge 0.500 0.000 0.350
Ge 0.500 0.500 0.000

DFT (PBE) results for Nd2CdCu4Ge3 after structural relaxation.

Space-group type: P-4m2 (115)
Calculated density (g/cm3): 7.8
Total magnetization (μB/f.u.): 0.00
Crystal system: tetragonal
E_form (eV/atom): -0.444

a b c (Å): 4.212 4.212 10.431
angles (deg): 90.00 90.00 90.00
Sites, in units of the cell vectors:
Nd 0.000 0.500 0.234
Nd 0.500 0.000 0.766
Cd 0.000 0.000 0.500
Cu 0.000 0.000 0.000
Cu 0.000 0.500 0.644
Cu 0.500 0.000 0.356
Cu 0.500 0.500 0.000
Ge 0.000 0.500 0.872
Ge 0.500 0.000 0.128
Ge 0.500 0.500 0.500